# 1
## PmHf2H8 (PBE)

Data for a relaxed PmHf2H8 crystal.

Cell lengths 3.6204, 5.5115, 5.5115 Å; angles 113.58, 92.79, 92.79 degrees
Atoms (fractional coordinates):
H: 0.2893 0.6109 0.6109
Hf: 0.0000 0.6686 0.3314
H: 0.9692 0.9701 0.6891
H: 0.0308 0.0299 0.3109
Hf: 0.0000 0.3314 0.6686
H: 0.0308 0.3109 0.0299
H: 0.9692 0.6891 0.9701
H: 0.5000 0.7503 0.2497
Pm: 0.5000 0.0000 0.0000
H: 0.5000 0.2497 0.7503
H: 0.7107 0.3891 0.3891

## Properties
symmetry: C2/m
DOS(E_F): 0.28 states/eV/atom
E_tot: -55.91 eV/f.u.
M_tot: 0.00 μB/f.u.

---

# 2
## RbSb2AuBr (PBE)

Data for a relaxed RbSb2AuBr crystal.

Cell lengths 5.6125, 6.1605, 5.6125 Å; angles 90.00, 90.00, 90.00 degrees
Atoms (fractional coordinates):
Sb: 0.5000 0.0000 0.0000
Rb: 0.0000 0.5000 0.0000
Au: 0.5000 0.5000 0.5000
Br: 0.0000 0.0000 0.0000
Sb: 0.0000 0.0000 0.5000

## Properties
symmetry: P4/mmm
DOS(E_F): 1.02 states/eV/atom
formation energy (no corrections): 0.510 eV per atom
E_tot: -11.61 eV/f.u.
M_tot: 0.00 μB/f.u.

---

Please write out number 1 again, unchanged.
## PmHf2H8 (PBE)

Data for a relaxed PmHf2H8 crystal.

Cell lengths 3.6204, 5.5115, 5.5115 Å; angles 113.58, 92.79, 92.79 degrees
Atoms (fractional coordinates):
H: 0.2893 0.6109 0.6109
Hf: 0.0000 0.6686 0.3314
H: 0.9692 0.9701 0.6891
H: 0.0308 0.0299 0.3109
Hf: 0.0000 0.3314 0.6686
H: 0.0308 0.3109 0.0299
H: 0.9692 0.6891 0.9701
H: 0.5000 0.7503 0.2497
Pm: 0.5000 0.0000 0.0000
H: 0.5000 0.2497 0.7503
H: 0.7107 0.3891 0.3891

## Properties
symmetry: C2/m
DOS(E_F): 0.28 states/eV/atom
E_tot: -55.91 eV/f.u.
M_tot: 0.00 μB/f.u.

---

Please write out number 1 again, unchanged.
## PmHf2H8 (PBE)

Data for a relaxed PmHf2H8 crystal.

Cell lengths 3.6204, 5.5115, 5.5115 Å; angles 113.58, 92.79, 92.79 degrees
Atoms (fractional coordinates):
H: 0.2893 0.6109 0.6109
Hf: 0.0000 0.6686 0.3314
H: 0.9692 0.9701 0.6891
H: 0.0308 0.0299 0.3109
Hf: 0.0000 0.3314 0.6686
H: 0.0308 0.3109 0.0299
H: 0.9692 0.6891 0.9701
H: 0.5000 0.7503 0.2497
Pm: 0.5000 0.0000 0.0000
H: 0.5000 0.2497 0.7503
H: 0.7107 0.3891 0.3891

## Properties
symmetry: C2/m
DOS(E_F): 0.28 states/eV/atom
E_tot: -55.91 eV/f.u.
M_tot: 0.00 μB/f.u.

---

The lowest E_tot belongs to which entry?
PmHf2H8

---

The highest DOS(E_F) belongs to which entry?
RbSb2AuBr